DFT (PBE+U) results for a relaxed Li3MnCr3O8 crystal.

Cell: 5.9232 5.9232 5.9439 Å, 60.32 60.32 59.70°
Last column: magnetic moment on the atom in μB.
Fractional positions:
O1 0.2368 0.7450 0.2862  -0.07
O2 0.7352 0.7352 0.2848  -0.03
O3 0.7632 0.2550 0.7138  -0.07
O4 0.7450 0.2368 0.2862  -0.07
O5 0.2550 0.7632 0.7138  -0.07
O6 0.2354 0.2354 0.2782  -0.07
O7 0.2648 0.2648 0.7152  -0.03
O8 0.7646 0.7646 0.7218  -0.07
Cr1 0.5000 0.0000 0.5000  2.99
Cr2 0.5000 0.5000 0.5000  2.96
Cr3 0.0000 0.5000 0.5000  2.99
Li1 0.0000 0.5000 0.0000  0.00
Li2 0.5000 0.0000 0.0000  0.00
Li3 0.5000 0.5000 0.0000  -0.01
Mn1 0.0000 0.0000 0.5000  3.34

Output
raw total energy: -103.9 eV/cell
symmetry: No. 12
theoretical density: 4.0 g/cm³
crystal system: monoclinic